(1)
A plane-wave DFT calculation with PBE-GGA was carried out for PmNdSmCd after structural relaxation.

For the calculated formation energy, the calculation gives -0.021 eV per atom. The density of states at the Fermi level comes out at 21.6 states/eV/cell. The offset from the most stable computed form comes out at 129.8 meV/atom.

It has space group F-43m (No. 216), with a = 7.8832 Å, b = 7.8832 Å, c = 7.8832 Å, α = 90.00°, β = 90.00° and γ = 90.00°. The inequivalent atoms are Pm at (0.0000, 0.0000, 0.0000), Nd at (0.2500, 0.2500, 0.7500), Sm at (0.2500, 0.2500, 0.2500) and Cd at (0.0000, 0.0000, 0.5000).

(2)
A plane-wave DFT calculation with PBE-GGA was carried out for PmNdSmCd after structural relaxation.

For the calculated formation energy, the calculation gives -0.151 eV per atom. The density of states at the Fermi level comes out at 4.5 states/eV/cell. The offset from the most stable computed form comes out at 0.0 meV/atom.

It has space group P4mm (No. 99), with a = 3.6983 Å, b = 3.6983 Å, c = 9.1489 Å, α = 90.00°, β = 90.00° and γ = 90.00°. The inequivalent atoms are Pm at (0.0000, 0.0000, 0.0000), Nd at (0.5000, 0.5000, 0.7226), Sm at (0.0000, 0.0000, 0.4471) and Cd at (0.5000, 0.5000, 0.2254).

(3)
A plane-wave DFT calculation with PBE-GGA was carried out for PmNdCdSn after structural relaxation.

For the calculated formation energy, the calculation gives -0.537 eV per atom. The density of states at the Fermi level comes out at 10.5 states/eV/cell.

It has space group F-43m (No. 216), with a = 7.6743 Å, b = 7.6743 Å, c = 7.6743 Å, α = 90.00°, β = 90.00° and γ = 90.00°. The inequivalent atoms are Pm at (0.0000, 0.0000, 0.0000), Nd at (0.0000, 0.0000, 0.5000), Cd at (0.2500, 0.2500, 0.2500) and Sn at (0.2500, 0.2500, 0.7500).

(4)
A plane-wave DFT calculation with PBE-GGA was carried out for TbPmNdCd after structural relaxation.

For the calculated formation energy, the calculation gives -0.010 eV per atom. The density of states at the Fermi level comes out at 22.1 states/eV/cell. The offset from the most stable computed form comes out at 140.9 meV/atom.

It has space group F-43m (No. 216), with a = 7.8440 Å, b = 7.8440 Å, c = 7.8440 Å, α = 90.00°, β = 90.00° and γ = 90.00°. The inequivalent atoms are Tb at (0.0000, 0.0000, 0.0000), Pm at (0.2500, 0.2500, 0.7500), Nd at (0.0000, 0.0000, 0.5000) and Cd at (0.2500, 0.2500, 0.2500).

(5)
A plane-wave DFT calculation with PBE-GGA was carried out for TbPmNdCd after structural relaxation.

For the calculated formation energy, the calculation gives -0.151 eV per atom. The density of states at the Fermi level comes out at 4.2 states/eV/cell. The offset from the most stable computed form comes out at 0.0 meV/atom.

It has space group P4mm (No. 99), with a = 3.6751 Å, b = 3.6751 Å, c = 9.1075 Å, α = 90.00°, β = 90.00° and γ = 90.00°. The inequivalent atoms are Tb at (0.0000, 0.0000, 0.0000), Pm at (0.0000, 0.0000, 0.4455), Nd at (0.5000, 0.5000, 0.7264) and Cd at (0.5000, 0.5000, 0.2152).

(6)
A plane-wave DFT calculation with PBE-GGA was carried out for Pm2NdTl2Cd2 after structural relaxation.

For the calculated formation energy, the calculation gives -0.187 eV per atom. The density of states at the Fermi level comes out at 13.0 states/eV/cell.

It has space group R-3m (No. 166, hexagonal axes), with a = 5.0419 Å, b = 5.0419 Å, c = 27.1751 Å, α = 90.00°, β = 90.00° and γ = 120.00°. The inequivalent atoms are Pm at (0.0000, 0.0000, 0.1321), Nd at (0.0000, 0.0000, 0.0000), Tl at (0.0000, 0.0000, 0.2693) and Cd at (0.0000, 0.0000, 0.4203).

(7)
A plane-wave DFT calculation with PBE-GGA was carried out for PmNdTlCd after structural relaxation.

For the calculated formation energy, the calculation gives -0.361 eV per atom. The density of states at the Fermi level comes out at 20.0 states/eV/cell.

It has space group F-43m (No. 216), with a = 7.7490 Å, b = 7.7490 Å, c = 7.7490 Å, α = 90.00°, β = 90.00° and γ = 90.00°. The inequivalent atoms are Pm at (0.0000, 0.0000, 0.0000), Nd at (0.0000, 0.0000, 0.5000), Tl at (0.2500, 0.2500, 0.7500) and Cd at (0.2500, 0.2500, 0.2500).

(8)
A plane-wave DFT calculation with PBE-GGA was carried out for PmNd2Tl2Cd2 after structural relaxation.

For the calculated formation energy, the calculation gives -0.184 eV per atom. The density of states at the Fermi level comes out at 12.8 states/eV/cell.

It has space group R-3m (No. 166, hexagonal axes), with a = 5.0434 Å, b = 5.0434 Å, c = 27.2969 Å, α = 90.00°, β = 90.00° and γ = 120.00°. The inequivalent atoms are Pm at (0.0000, 0.0000, 0.0000), Nd at (0.0000, 0.0000, 0.1309), Tl at (0.0000, 0.0000, 0.2699) and Cd at (0.0000, 0.0000, 0.4152).

(9)
A plane-wave DFT calculation with PBE-GGA was carried out for PmNdTmCd after structural relaxation.

For the calculated formation energy, the calculation gives -0.055 eV per atom. The density of states at the Fermi level comes out at 20.5 states/eV/cell. The offset from the most stable computed form comes out at 93.1 meV/atom.

It has space group F-43m (No. 216), with a = 7.8164 Å, b = 7.8164 Å, c = 7.8164 Å, α = 90.00°, β = 90.00° and γ = 90.00°. The inequivalent atoms are Pm at (0.0000, 0.0000, 0.0000), Nd at (0.0000, 0.0000, 0.5000), Tm at (0.2500, 0.2500, 0.7500) and Cd at (0.2500, 0.2500, 0.2500).

(10)
A plane-wave DFT calculation with PBE-GGA was carried out for PmNdTmCd after structural relaxation.

For the calculated formation energy, the calculation gives -0.148 eV per atom. The density of states at the Fermi level comes out at 3.9 states/eV/cell. The offset from the most stable computed form comes out at 0.0 meV/atom.

It has space group P4mm (No. 99), with a = 3.6494 Å, b = 3.6494 Å, c = 9.0716 Å, α = 90.00°, β = 90.00° and γ = 90.00°. The inequivalent atoms are Pm at (0.0000, 0.0000, 0.0000), Nd at (0.5000, 0.5000, 0.2845), Tm at (0.0000, 0.0000, 0.5564) and Cd at (0.5000, 0.5000, 0.7647).

(11)
A plane-wave DFT calculation with PBE-GGA was carried out for PmNdYCd after structural relaxation.

For the calculated formation energy, the calculation gives -0.158 eV per atom. The density of states at the Fermi level comes out at 4.1 states/eV/cell. The offset from the most stable computed form comes out at 0.0 meV/atom.

It has space group P4mm (No. 99), with a = 3.6789 Å, b = 3.6789 Å, c = 9.0979 Å, α = 90.00°, β = 90.00° and γ = 90.00°. The inequivalent atoms are Pm at (0.0000, 0.0000, 0.0000), Nd at (0.5000, 0.5000, 0.2802), Y at (0.0000, 0.0000, 0.5565) and Cd at (0.5000, 0.5000, 0.7696).

(12)
A plane-wave DFT calculation with PBE-GGA was carried out for PmNdYCd after structural relaxation.

For the calculated formation energy, the calculation gives -0.012 eV per atom. The density of states at the Fermi level comes out at 23.5 states/eV/cell. The offset from the most stable computed form comes out at 145.6 meV/atom.

It has space group F-43m (No. 216), with a = 7.8491 Å, b = 7.8491 Å, c = 7.8491 Å, α = 90.00°, β = 90.00° and γ = 90.00°. The inequivalent atoms are Pm at (0.0000, 0.0000, 0.0000), Nd at (0.2500, 0.2500, 0.7500), Y at (0.2500, 0.2500, 0.2500) and Cd at (0.0000, 0.0000, 0.5000).

(13)
A plane-wave DFT calculation with PBE-GGA was carried out for PmNdZnCd after structural relaxation.

For the calculated formation energy, the calculation gives -0.321 eV per atom. The density of states at the Fermi level comes out at 4.2 states/eV/cell. The offset from the most stable computed form comes out at 0.0 meV/atom.

It has space group P4mm (No. 99), with a = 3.7230 Å, b = 3.7230 Å, c = 7.6410 Å, α = 90.00°, β = 90.00° and γ = 90.00°. The inequivalent atoms are Pm at (0.0000, 0.0000, 0.0000), Nd at (0.0000, 0.0000, 0.4604), Zn at (0.5000, 0.5000, 0.2264) and Cd at (0.5000, 0.5000, 0.7334).

(14)
A plane-wave DFT calculation with PBE-GGA was carried out for PmNdZnCd after structural relaxation.

For the calculated formation energy, the calculation gives -0.297 eV per atom. The density of states at the Fermi level comes out at 19.5 states/eV/cell. The offset from the most stable computed form comes out at 24.0 meV/atom.

It has space group F-43m (No. 216), with a = 7.5274 Å, b = 7.5274 Å, c = 7.5274 Å, α = 90.00°, β = 90.00° and γ = 90.00°. The inequivalent atoms are Pm at (0.0000, 0.0000, 0.0000), Nd at (0.0000, 0.0000, 0.5000), Zn at (0.2500, 0.2500, 0.2500) and Cd at (0.2500, 0.2500, 0.7500).